# 1
The following is a DFT calculation (PBE) of a relaxed NaGe2Pt crystal.

Output
The total moment comes out at 0.0 Bohr magnetons per cell. Its space group is P4/mmm, No. 123. The energy of formation from the pure elements comes out at -0.99 eV/f.u.

Cell lengths 3.195, 3.195, 7.609 Å; angles 90.00, 90.00, 90.00 degrees
Fractional positions:
Ge1 0.000 0.000 0.196
Ge2 0.000 0.000 0.804
Na1 0.500 0.500 0.500
Pt1 0.500 0.500 0.000

---

# 2
The following is a DFT calculation (PBE) of a relaxed DyAgPb2 crystal.

Output
The total moment comes out at 0.0 Bohr magnetons per cell. Its space group is P4/mmm, No. 123. The energy of formation from the pure elements comes out at -1.14 eV/f.u.

Cell lengths 4.490, 4.783, 4.783 Å; angles 90.00, 90.00, 90.00 degrees
Fractional positions:
Pb1 0.000 0.500 0.000
Pb2 0.000 0.000 0.500
Ag1 0.500 0.000 0.000
Dy1 0.500 0.500 0.500

---

# 3
The following is a DFT calculation (PBE) of a relaxed ZnNiOs2 crystal.

Output
The total moment comes out at 0.0 Bohr magnetons per cell. Its space group is Cmm2, No. 35. The energy of formation from the pure elements comes out at 1.40 eV/f.u.

Cell lengths 2.661, 2.661, 8.844 Å; angles 90.00, 90.00, 117.89 degrees
Fractional positions:
Ni1 0.500 0.500 0.746
Os1 0.500 0.500 0.250
Os2 0.000 0.000 0.990
Zn1 0.000 0.000 0.514

---

Number 1: density of states at the Fermi level 0.9 states/eV per cell. Number 2: density of states at the Fermi level 1.0 states/eV per cell. Number 3: density of states at the Fermi level 5.7 states/eV per cell.